# 1
{"formula": "Sr2MgAl4Zn3", "functional": "PBE", "state": "optimized geometry", "cell": [[4.413, 0.000, 0.000], [0.000, 4.413, 0.000], [0.000, 0.000, 11.322]], "species": ["Al", "Al", "Al", "Al", "Zn", "Zn", "Zn", "Mg", "Sr", "Sr"], "fractional_positions": [[0.500, 0.000, 0.643], [0.500, 0.500, 0.000], [0.000, 0.500, 0.357], [0.000, 0.000, 0.000], [0.000, 0.000, 0.500], [0.500, 0.000, 0.870], [0.000, 0.500, 0.130], [0.500, 0.500, 0.500], [0.000, 0.500, 0.758], [0.500, 0.000, 0.242]], "dos_ef_per_ev_fu": 6.27, "formation_enthalpy_0k_kj_per_mol_atoms": -20.1, "density_kg_m3": 3793, "total_energy_ev_per_atom": -2.584}

=====

# 2
{"formula": "Mg2TaAl", "functional": "PBE", "state": "optimized geometry", "cell": [[5.144, 0.001, 0.000], [1.719, 4.848, 0.000], [-3.432, -2.424, 2.967]], "species": ["Mg", "Mg", "Al", "Ta"], "fractional_positions": [[0.250, 0.750, 0.500], [0.000, 0.000, 0.000], [0.750, 0.250, 0.500], [0.500, 0.500, 0.000]], "de_polymorph_mev_per_atom": 200, "dos_ef_per_ev_fu": 3.91, "formation_enthalpy_0k_kj_per_mol_atoms": 23.7, "density_kg_m3": 5757, "total_energy_ev_per_atom": -4.451}

=====

# 3
{"formula": "MgTa2Al", "functional": "PBE", "state": "optimized geometry", "cell": [[-3.853, 2.600, -0.345], [-2.514, -0.068, -3.924], [-4.191, -2.039, -0.048]], "species": ["Al", "Mg", "Ta", "Ta"], "fractional_positions": [[0.500, 0.500, 0.500], [0.750, 0.750, 0.750], [0.000, 0.000, 0.000], [0.250, 0.250, 0.250]], "de_polymorph_mev_per_atom": 218, "dos_ef_per_ev_fu": 4.41, "formation_enthalpy_0k_kj_per_mol_atoms": 23.0, "density_kg_m3": 9581, "total_energy_ev_per_atom": -7.022}

=====

# 4
{"formula": "Mg2TaAl2", "functional": "PBE", "state": "optimized geometry", "cell": [[7.594, 0.000, 0.000], [0.000, 7.594, 0.000], [0.000, 0.000, 3.150]], "species": ["Mg", "Mg", "Mg", "Mg", "Al", "Al", "Al", "Al", "Ta", "Ta"], "fractional_positions": [[0.171, 0.671, 0.500], [0.671, 0.829, 0.500], [0.329, 0.171, 0.500], [0.829, 0.329, 0.500], [0.371, 0.871, 0.000], [0.629, 0.129, 0.000], [0.871, 0.629, 0.000], [0.129, 0.371, 0.000], [0.000, 0.000, 0.000], [0.500, 0.500, 0.000]], "dos_ef_per_ev_fu": 1.52, "formation_enthalpy_0k_kj_per_mol_atoms": 19.1, "density_kg_m3": 5184, "total_energy_ev_per_atom": -4.308}

=====

# 5
{"formula": "Mg2TaAl", "functional": "PBE", "state": "optimized geometry", "cell": [[2.883, 0.000, 0.000], [0.000, 2.883, 0.000], [0.000, 0.000, 9.126]], "species": ["Al", "Mg", "Mg", "Ta"], "fractional_positions": [[0.500, 0.500, 0.750], [0.000, 0.000, 0.501], [0.000, 0.000, 0.999], [0.500, 0.500, 0.250]], "de_polymorph_mev_per_atom": 106, "dos_ef_per_ev_fu": 2.50, "formation_enthalpy_0k_kj_per_mol_atoms": 14.6, "density_kg_m3": 5614, "total_energy_ev_per_atom": -4.545}

=====

# 6
{"formula": "MgTaAl", "functional": "PBE", "state": "optimized geometry", "cell": [[-4.347, -1.353, 0.012], [-1.104, -4.099, 1.646], [-2.268, -0.338, 3.934]], "species": ["Ta", "Al", "Mg"], "fractional_positions": [[0.750, 0.750, 0.750], [0.000, 0.000, 0.000], [0.500, 0.500, 0.500]], "de_polymorph_mev_per_atom": 858, "dos_ef_per_ev_fu": 1.18, "formation_enthalpy_0k_kj_per_mol_atoms": 84.5, "density_kg_m3": 5778, "total_energy_ev_per_atom": -4.854}

=====

# 7
{"formula": "Mg2TaAl", "functional": "PBE", "state": "optimized geometry", "cell": [[-0.534, 5.483, 0.919], [-3.269, 4.527, 0.066], [-1.663, 0.735, 4.509]], "species": ["Mg", "Mg", "Al", "Ta"], "fractional_positions": [[0.994, 0.994, 0.001], [0.506, 0.506, 0.499], [0.250, 0.250, 0.250], [0.750, 0.750, 0.750]], "de_polymorph_mev_per_atom": 57, "dos_ef_per_ev_fu": 2.02, "formation_enthalpy_0k_kj_per_mol_atoms": 9.9, "density_kg_m3": 5753, "total_energy_ev_per_atom": -4.594}

=====

# 8
{"formula": "MgTa2Al", "functional": "PBE", "state": "optimized geometry", "cell": [[-0.385, 3.026, 3.236], [-2.819, -0.013, -0.324], [-3.704, -4.150, 3.439]], "species": ["Ta", "Ta", "Al", "Mg"], "fractional_positions": [[0.000, 0.521, 0.495], [0.000, 0.979, 0.005], [0.500, 0.250, 0.250], [0.500, 0.750, 0.750]], "de_polymorph_mev_per_atom": 41, "dos_ef_per_ev_fu": 2.74, "formation_enthalpy_0k_kj_per_mol_atoms": 6.0, "density_kg_m3": 9635, "total_energy_ev_per_atom": -7.199}

=====

# 9
{"formula": "Mg2TaAl", "functional": "PBE", "state": "optimized geometry", "cell": [[-2.010, 0.289, -2.182], [-3.052, -0.956, 2.684], [-0.640, 5.885, 1.367]], "species": ["Ta", "Mg", "Mg", "Al"], "fractional_positions": [[0.000, 0.000, 0.517], [0.500, 0.500, 0.259], [0.000, 0.000, 0.002], [0.500, 0.500, 0.722]], "de_polymorph_mev_per_atom": 89, "dos_ef_per_ev_fu": 2.58, "formation_enthalpy_0k_kj_per_mol_atoms": 13.0, "density_kg_m3": 5634, "total_energy_ev_per_atom": -4.562}

=====

# 10
{"formula": "MgTa2Al", "functional": "PBE", "state": "optimized geometry", "cell": [[2.853, 0.000, 0.000], [0.000, 2.853, 0.000], [0.000, 0.000, 9.002]], "species": ["Mg", "Ta", "Ta", "Al"], "fractional_positions": [[0.500, 0.500, 0.741], [0.500, 0.500, 0.263], [0.000, 0.000, 0.007], [0.000, 0.000, 0.489]], "de_polymorph_mev_per_atom": 36, "dos_ef_per_ev_fu": 2.65, "formation_enthalpy_0k_kj_per_mol_atoms": 5.5, "density_kg_m3": 9363, "total_energy_ev_per_atom": -7.204}

=====

# 11
{"formula": "Mg2TaAl", "functional": "PBE", "state": "optimized geometry", "cell": [[-0.991, -1.077, -2.596], [2.390, -3.699, 0.622], [-4.426, -2.407, 2.689]], "species": ["Mg", "Mg", "Ta", "Al"], "fractional_positions": [[0.000, 0.000, 0.493], [0.000, 0.000, 0.007], [0.500, 0.500, 0.250], [0.500, 0.500, 0.750]], "de_polymorph_mev_per_atom": 175, "dos_ef_per_ev_fu": 1.85, "formation_enthalpy_0k_kj_per_mol_atoms": 21.2, "density_kg_m3": 5629, "total_energy_ev_per_atom": -4.476}

=====

# 12
{"formula": "MgTa2Al", "functional": "PBE", "state": "optimized geometry", "cell": [[5.246, 0.007, -0.055], [-2.183, 4.770, -0.055], [0.050, 0.078, 2.838]], "species": ["Ta", "Ta", "Mg", "Al"], "fractional_positions": [[0.000, 0.000, 0.000], [0.500, 0.500, 0.000], [0.000, 0.500, 0.500], [0.500, 0.000, 0.500]], "de_polymorph_mev_per_atom": 43, "dos_ef_per_ev_fu": 3.10, "formation_enthalpy_0k_kj_per_mol_atoms": 6.1, "density_kg_m3": 9648, "total_energy_ev_per_atom": -7.197}